A crystal of LiPbF2 relaxed with PBEsol, computed with SCAN.

Results
Space-group type   R-3m (166)
E_tot   -23.34 eV/atom
Formation energy without anion corrections   -2031 meV per atom

abc: 3.320 3.320 7.615
angles: 77.41 77.41 60.00
Element x y z (fractional)
F1 0.924 0.924 0.229
Pb1 0.500 0.500 0.500
F2 0.076 0.076 0.771
Li1 0.000 0.000 0.000